The following is a PBE-GGA calculation of a relaxed Cs3CdO crystal, from the Alexandria database.

a b c (Å): 6.947 11.050 9.767
angles (deg): 124.45 90.00 90.00
Element x y z (fractional)
Cs: 0.837 0.139 0.277
Cs: 0.337 0.861 0.723
Cs: 0.319 0.442 0.264
Cs: 0.819 0.178 0.736
Cs: 0.819 0.558 0.736
Cs: 0.319 0.822 0.264
Cd: 0.310 0.307 0.615
Cd: 0.810 0.693 0.385
O: 0.000 0.292 0.584
O: 0.500 0.708 0.416

density = 2.83 Mg/m³
space group = Cmc2_1
energy relative to the elements, uncorrected = -2.849 eV per formula unit
distance to the lowest polymorph of the same formula = 5 meV/atom
total DFT energy (no corrections) = -2.26 eV per atom